Computed, not measured: a relaxed structure of CdGe2SCl at the PBE level of DFT.

POSCAR file:
```
CdGe2SCl
1.0
5.0205 0.0000 0.0000
0.0000 4.8683 0.0000
0.0000 0.0000 5.0205
Ge Cl S Cd
2 1 1 1
direct
0.0000 0.0000 0.5000
0.5000 0.0000 0.0000
0.0000 0.0000 0.0000
0.0000 0.5000 0.0000
0.5000 0.5000 0.5000
```

Calculated values
**Raw formation energy**: 69.34 kJ per mole of atoms
**N(E_F)**: 2.2 states/eV per cell
**Uncorrected energy**: -2.51 eV per atom

---

Computed, not measured: a relaxed structure of CdGeS2Cl at the PBE level of DFT.

POSCAR file:
```
CdGeS2Cl
1.0
4.9756 0.0000 0.0000
0.0000 4.9756 0.0000
0.0000 0.0000 5.0634
Ge Cl S Cd
1 1 2 1
direct
0.5000 0.5000 0.5000
0.0000 0.0000 0.5000
0.0000 0.5000 0.0000
0.5000 0.0000 0.0000
0.0000 0.0000 0.0000
```

Calculated values
**ΔE to the lowest computed polymorph**: 300.8 meV/atom
**Raw formation energy**: 28.47 kJ per mole of atoms
**N(E_F)**: 2.5 states/eV per cell
**Uncorrected energy**: -2.83 eV per atom

---

Computed, not measured: a relaxed structure of CdGeSCl2 at the PBE level of DFT.

POSCAR file:
```
CdGeSCl2
1.0
4.9438 0.0000 0.0000
0.0000 4.9438 0.0000
0.0000 0.0000 4.9540
Ge Cl S Cd
1 2 1 1
direct
0.0000 0.0000 0.0000
0.0000 0.5000 0.0000
0.5000 0.0000 0.0000
0.0000 0.0000 0.5000
0.5000 0.5000 0.5000
```

Calculated values
**ΔE to the lowest computed polymorph**: 0.0 meV/atom
**Raw formation energy**: -22.80 kJ per mole of atoms
**N(E_F)**: 1.4 states/eV per cell
**Uncorrected energy**: -2.91 eV per atom

---

Computed, not measured: a relaxed structure of CdGeS2Cl at the PBE level of DFT.

POSCAR file:
```
CdGeS2Cl
1.0
-0.5192 -1.9536 -4.3402
-2.0424 -3.8521 1.9782
-4.3581 2.0943 -0.4213
Ge Cl S Cd
1 1 2 1
direct
0.0000 0.0000 0.0000
0.0000 0.0000 0.5000
0.0000 0.5000 0.0000
0.5000 0.0000 0.0000
0.5000 0.5000 0.5000
```

Calculated values
**ΔE to the lowest computed polymorph**: 0.0 meV/atom
**Raw formation energy**: -0.56 kJ per mole of atoms
**N(E_F)**: 2.3 states/eV per cell
**Uncorrected energy**: -3.13 eV per atom

---

Computed, not measured: a relaxed structure of CdGeSCl2 at the PBE level of DFT.

POSCAR file:
```
CdGeSCl2
1.0
-4.3596 -2.2303 1.0617
2.1246 -4.4843 -0.6962
1.3199 -0.1629 5.0774
Ge Cl S Cd
1 2 1 1
direct
0.5000 0.5000 0.5000
0.0000 0.5000 0.0000
0.5000 0.0000 0.0000
0.0000 0.0000 0.5000
0.0000 0.0000 0.0000
```

Calculated values
**ΔE to the lowest computed polymorph**: 184.3 meV/atom
**Raw formation energy**: -5.01 kJ per mole of atoms
**N(E_F)**: 0.5 states/eV per cell
**Uncorrected energy**: -2.72 eV per atom

---

Computed, not measured: a relaxed structure of CdSnGe2Cl8 at the PBE level of DFT.

POSCAR file:
```
CdSnGe2Cl8
1.0
-5.5431 -3.6642 -1.2592
0.9966 0.1701 -6.1604
4.4982 -7.0151 0.4757
Cd Sn Ge Cl
1 1 2 8
direct
0.0000 0.0000 0.0000
0.0000 0.0000 0.5000
0.4526 0.4707 0.7595
0.5474 0.5293 0.2405
0.1825 0.7997 0.2294
0.6751 0.7433 0.0304
0.8565 0.2644 0.2375
0.8175 0.2003 0.7706
0.3249 0.2567 0.9696
0.1435 0.7356 0.7625
0.6675 0.7294 0.4629
0.3325 0.2706 0.5371
```

Calculated values
**Raw formation energy**: -86.38 kJ per mole of atoms
**N(E_F)**: 0.0 states/eV per cell
**Uncorrected energy**: -3.31 eV per atom

---

Computed, not measured: a relaxed structure of SrCdGe2Cl at the PBE level of DFT.

POSCAR file:
```
SrCdGe2Cl
1.0
5.1216 0.0000 0.0000
0.0000 5.5033 0.0000
0.0000 0.0000 5.1216
Sr Ge Cl Cd
1 2 1 1
direct
0.0000 0.5000 0.0000
0.0000 0.0000 0.5000
0.5000 0.0000 0.0000
0.0000 0.0000 0.0000
0.5000 0.5000 0.5000
```

Calculated values
**Raw formation energy**: 5.24 kJ per mole of atoms
**N(E_F)**: 2.9 states/eV per cell
**Uncorrected energy**: -2.68 eV per atom

---

Computed, not measured: a relaxed structure of CdGe2TeCl at the PBE level of DFT.

POSCAR file:
```
CdGe2TeCl
1.0
-1.4698 -1.0783 5.0279
2.9421 -3.9439 0.0142
4.0270 3.0106 1.8228
Cl Ge Te Cd
1 2 1 1
direct
0.0000 0.5000 0.0000
0.0000 0.0000 0.5000
0.5000 0.0000 0.0000
0.5000 0.5000 0.5000
0.0000 0.0000 0.0000
```

Calculated values
**Raw formation energy**: 35.73 kJ per mole of atoms
**N(E_F)**: 1.6 states/eV per cell
**Uncorrected energy**: -2.66 eV per atom

---

Computed, not measured: a relaxed structure of ZrCdGe2Cl at the PBE level of DFT.

POSCAR file:
```
ZrCdGe2Cl
1.0
-1.0727 -0.3561 4.9067
-4.2919 -2.4630 -1.1170
2.4607 -4.3875 0.2195
Ge Cl Zr Cd
2 1 1 1
direct
0.0000 0.0000 0.5000
0.5000 0.0000 0.0000
0.0000 0.5000 0.0000
0.5000 0.5000 0.5000
0.0000 0.0000 0.0000
```

Calculated values
**Raw formation energy**: 68.45 kJ per mole of atoms
**N(E_F)**: 3.7 states/eV per cell
**Uncorrected energy**: -3.40 eV per atom

---

Computed, not measured: a relaxed structure of Cd2HCl3 at the PBE level of DFT.

POSCAR file:
```
Cd2HCl3
1.0
-3.8586 -0.2995 0.3861
-1.1355 -8.0280 2.0147
-0.6056 -3.9108 10.5032
Cd H Cl
4 2 6
direct
0.9013 0.4199 0.7776
0.0987 0.5801 0.2224
0.6305 0.2133 0.5256
0.3695 0.7867 0.4744
0.4251 0.5279 0.6220
0.5749 0.4721 0.3780
0.0672 0.1557 0.7099
0.9328 0.8443 0.2901
0.6325 0.6859 0.0491
0.3675 0.3141 0.9509
0.7653 0.8198 0.6496
0.2347 0.1802 0.3504
```

Calculated values
**N(E_F)**: 0.0 states/eV per cell
**Uncorrected energy**: -2.46 eV per atom

---

Computed, not measured: a relaxed structure of CdH2Cl at the PBE level of DFT.

POSCAR file:
```
CdH2Cl
1.0
-0.0801 -3.7089 -1.8975
-3.4638 -1.2774 -1.9321
-0.1083 -0.2100 -4.1602
H Cl Cd
2 1 1
direct
0.2500 0.2500 0.2500
0.7500 0.7500 0.7500
0.0000 0.0000 0.0000
0.5000 0.5000 0.5000
```

Calculated values
**ΔE to the lowest computed polymorph**: 1200.5 meV/atom
**N(E_F)**: 1.6 states/eV per cell
**Uncorrected energy**: -1.57 eV per atom

---

Computed, not measured: a relaxed structure of Cd3HCl3 at the PBE level of DFT.

POSCAR file:
```
Cd3HCl3
1.0
-3.3557 7.4654 6.8641
0.3943 -0.7215 7.2178
5.1335 3.5891 6.2482
Cd H Cl
6 2 6
direct
0.2208 0.2658 0.4582
0.8965 0.4684 0.1894
0.4617 0.0369 0.1510
0.5383 0.9631 0.8490
0.1035 0.5316 0.8106
0.7792 0.7342 0.5418
0.6504 0.6670 0.8087
0.3496 0.3330 0.1913
0.3409 0.7214 0.5932
0.9403 0.2612 0.5637
0.2609 0.0848 0.8013
0.7391 0.9152 0.1987
0.0597 0.7388 0.4363
0.6591 0.2786 0.4068
```

Calculated values
**N(E_F)**: 0.0 states/eV per cell
**Uncorrected energy**: -2.28 eV per atom

---

Computed, not measured: a relaxed structure of CdH2Cl at the PBE level of DFT.

POSCAR file:
```
CdH2Cl
1.0
0.1767 1.5535 6.0980
-0.9066 -3.8130 -0.2746
12.0008 -11.0562 2.1395
Cd H Cl
4 8 4
direct
0.1490 0.8068 0.2644
0.7294 0.6740 0.2248
0.8510 0.1932 0.7356
0.2706 0.3260 0.7752
0.2896 0.3861 0.5449
0.9188 0.2898 0.9588
0.7104 0.6139 0.4551
0.0812 0.7102 0.0412
0.1900 0.2010 0.5530
0.7920 0.2203 0.9625
0.8100 0.7990 0.4470
0.2080 0.7797 0.0375
0.5367 0.2486 0.1389
0.3418 0.2326 0.3503
0.4633 0.7514 0.8611
0.6582 0.7674 0.6497
```

Calculated values
**ΔE to the lowest computed polymorph**: 0.0 meV/atom
**N(E_F)**: 0.0 states/eV per cell
**Uncorrected energy**: -2.77 eV per atom

---

Computed, not measured: a relaxed structure of Cd2H2Cl3 at the PBE level of DFT.

POSCAR file:
```
Cd2H2Cl3
1.0
3.5072 0.0001 0.8935
0.9141 5.2745 3.7448
-0.7043 1.4552 10.1007
Cd H Cl
2 2 3
direct
0.1336 0.9024 0.8303
0.8664 0.0976 0.1697
0.2455 0.5108 0.9981
0.7545 0.4892 0.0019
0.5000 0.0000 0.0000
0.3633 0.8749 0.3985
0.6367 0.1251 0.6015
```

Calculated values
**N(E_F)**: 1.4 states/eV per cell
**Uncorrected energy**: -2.35 eV per atom

---

Computed, not measured: a relaxed structure of CdH2Cl4 at the PBE level of DFT.

POSCAR file:
```
CdH2Cl4
1.0
5.0662 0.0000 0.0000
0.0000 5.0662 0.0000
2.5331 2.5331 8.7068
H Cl Cd
2 4 1
direct
0.6095 0.6095 0.7809
0.3905 0.3905 0.2191
0.6835 0.6835 0.6331
0.3165 0.3165 0.3669
0.0000 0.5000 0.0000
0.5000 0.0000 0.0000
0.0000 0.0000 0.0000
```

Calculated values
**Uncorrected energy**: -2.76 eV per atom

---

Computed, not measured: a relaxed structure of CdH2Cl at the PBE level of DFT.

POSCAR file:
```
CdH2Cl
1.0
-3.2487 2.2261 -0.5561
-1.3618 -2.6464 -2.6384
-5.5935 -3.7085 3.6089
H Cl Cd
4 2 2
direct
0.8747 0.1250 0.2500
0.8753 0.6250 0.2500
0.3750 0.1253 0.7500
0.8750 0.1247 0.7500
0.5000 0.5000 0.0000
0.2500 0.7500 0.5000
0.0000 0.0000 0.0000
0.7500 0.2500 0.5000
```

Calculated values
**ΔE to the lowest computed polymorph**: 623.7 meV/atom
**N(E_F)**: 1.3 states/eV per cell
**Uncorrected energy**: -2.15 eV per atom

---

Computed, not measured: a relaxed structure of Cd2H3Cl6 at the PBE level of DFT.

POSCAR file:
```
Cd2H3Cl6
1.0
6.4328 0.0000 1.7945
3.1897 7.2751 0.9932
-0.2019 -2.0390 13.1510
Cd H Cl
4 6 12
direct
0.2791 0.0011 0.0005
0.7193 0.5011 0.5005
0.7209 0.9989 0.9995
0.2807 0.4989 0.4995
0.1834 0.9058 0.7305
0.5003 0.2500 0.7500
0.8196 0.5942 0.7695
0.1804 0.4058 0.2305
0.8166 0.0942 0.2695
0.4997 0.7500 0.2500
0.1460 0.8177 0.8926
0.4974 0.1543 0.8511
0.7930 0.5521 0.8648
0.1436 0.3177 0.3926
0.7901 0.0521 0.3648
0.4972 0.6543 0.3511
0.8540 0.1823 0.1074
0.5026 0.8457 0.1489
0.2070 0.4479 0.1352
0.8564 0.6823 0.6074
0.2099 0.9479 0.6352
0.5028 0.3457 0.6489
```

Calculated values
**N(E_F)**: 2.3 states/eV per cell
**Uncorrected energy**: -2.69 eV per atom

---

Computed, not measured: a relaxed structure of Cd2HICl at the PBE level of DFT.

POSCAR file:
```
Cd2HICl
1.0
5.3516 0.0000 0.0000
0.0000 4.1965 0.0000
0.0000 0.0000 5.3516
I H Cl Cd
1 1 1 2
direct
0.0000 0.5000 0.0000
0.0000 0.0000 0.0000
0.5000 0.5000 0.5000
0.0000 0.0000 0.5000
0.5000 0.0000 0.0000
```

Calculated values
**N(E_F)**: 3.1 states/eV per cell
**Uncorrected energy**: -1.51 eV per atom

---

Computed, not measured: a relaxed structure of CdHIr2Cl at the PBE level of DFT.

POSCAR file:
```
CdHIr2Cl
1.0
-1.6163 2.4913 -2.2378
-1.7127 -4.5055 -3.7788
-3.1833 -0.3714 1.8857
Cl Ir H Cd
1 2 1 1
direct
0.5000 0.5000 0.5000
0.0000 0.0000 0.5000
0.5000 0.0000 0.0000
0.0000 0.0000 0.0000
0.0000 0.5000 0.0000
```

Calculated values
**N(E_F)**: 3.2 states/eV per cell
**Uncorrected energy**: -4.18 eV per atom

---

Computed, not measured: a relaxed structure of K2CdH2Cl2 at the PBE level of DFT.

POSCAR file:
```
K2CdH2Cl2
1.0
4.2587 0.0000 0.0000
0.0000 4.2587 0.0000
-2.1294 -2.1294 8.3637
K Cd H Cl
2 1 2 2
direct
0.3629 0.3629 0.7259
0.6371 0.6371 0.2741
0.0000 0.0000 0.0000
0.0000 0.5000 0.0000
0.5000 0.0000 0.0000
0.1661 0.1661 0.3322
0.8339 0.8339 0.6678
```

Calculated values
**N(E_F)**: 0.1 states/eV per cell
**Uncorrected energy**: -2.85 eV per atom